# 1
A relaxed Zn2AsPd6 crystal. Source: the Alexandria database, functional PBE.

Cell: 4.1706 8.0562 8.0567 Å, 90.00 90.00 90.00°
With the nearest neighbours (Å) after each atom.
Element x y z (fractional)
Zn: 0.0000 0.2958 0.7955  10 Pd 2.59-2.84
Zn: 0.5000 0.7958 0.7045  10 Pd 2.59-2.84
Zn: 0.5000 0.2042 0.2955  10 Pd 2.59-2.84
Zn: 0.0000 0.7042 0.2045  10 Pd 2.59-2.84
As: 0.5000 0.5000 0.0000  8 Pd 2.54-2.61
As: 0.0000 0.0000 0.5000  8 Pd 2.54-2.61
Pd: 0.9999 0.0248 0.1777  3 Zn 2.59-2.71, 1 As 2.60, 4 Pd 2.84-2.89
Pd: 0.9999 0.6775 0.5250  3 Zn 2.59-2.71, 1 As 2.61, 4 Pd 2.84-2.89
Pd: 0.9999 0.6269 0.8734  2 As 2.54, 4 Zn 2.74-2.84, 2 Pd 2.84
Pd: 0.5001 0.1269 0.6266  2 As 2.54, 4 Zn 2.74-2.84, 2 Pd 2.84
Pd: 0.5001 0.1775 0.9750  3 Zn 2.59-2.71, 1 As 2.61, 4 Pd 2.84-2.89
Pd: 0.5001 0.5248 0.3223  3 Zn 2.59-2.71, 1 As 2.60, 4 Pd 2.84-2.89
Pd: 0.0001 0.9752 0.8223  3 Zn 2.59-2.71, 1 As 2.60, 4 Pd 2.84-2.89
Pd: 0.0001 0.3225 0.4750  3 Zn 2.59-2.71, 1 As 2.61, 4 Pd 2.84-2.89
Pd: 0.0001 0.3731 0.1266  2 As 2.54, 4 Zn 2.74-2.84, 2 Pd 2.84
Pd: 0.4999 0.8731 0.3734  2 As 2.54, 4 Zn 2.74-2.84, 2 Pd 2.84
Pd: 0.4999 0.8225 0.0250  3 Zn 2.59-2.71, 1 As 2.61, 4 Pd 2.84-2.89
Pd: 0.4999 0.4752 0.6777  3 Zn 2.59-2.71, 1 As 2.60, 4 Pd 2.84-2.89

Properties
The calculation puts the formation energy at -9.0 kcal/mol of atoms. The value obtained for the total energy is -41.88 eV/f.u. The volume comes out at 15.039 Å³/atom. Its symmetry is No. 136. Its density of states at the Fermi level is 0.34 states/eV/atom. The total magnetization is 0.0 μB per cell.

***

# 2
A relaxed ZnAsPd5 crystal. Source: the Alexandria database, functional PBE.

Cell: 6.4515 6.4515 8.1170 Å, 59.64 59.64 80.85°
With the nearest neighbours (Å) after each atom.
Element x y z (fractional)
Zn: 0.5246 0.4754 0.2500  7 Pd 2.51-2.66
Zn: 0.4754 0.5246 0.7500  7 Pd 2.51-2.66
As: 0.0000 0.0000 0.0000  6 Pd 2.39-2.49
As: 0.0000 0.0000 0.5000  6 Pd 2.39-2.49
Pd: 0.6302 0.7481 0.3434  1 As 2.46, 2 Zn 2.51-2.53, 1 Pd 2.74
Pd: 0.1559 0.6479 0.4770  1 As 2.39, 1 Zn 2.66
Pd: 0.7481 0.6302 0.8434  1 As 2.46, 2 Zn 2.51-2.53, 1 Pd 2.74
Pd: 0.8277 0.1723 0.2500  2 As 2.49, 1 Zn 2.54, 2 Pd 2.78
Pd: 0.3521 0.8441 0.0230  1 As 2.39, 1 Zn 2.66
Pd: 0.6479 0.1559 0.9770  1 As 2.39, 1 Zn 2.66
Pd: 0.1723 0.8277 0.7500  2 As 2.49, 1 Zn 2.54, 2 Pd 2.78
Pd: 0.2519 0.3698 0.1566  1 As 2.46, 2 Zn 2.51-2.53, 1 Pd 2.74
Pd: 0.8441 0.3521 0.5230  1 As 2.39, 1 Zn 2.66
Pd: 0.3698 0.2519 0.6566  1 As 2.46, 2 Zn 2.51-2.53, 1 Pd 2.74

Properties
The calculation puts the formation energy at -2.1 kcal/mol of atoms. The value obtained for the total energy is -32.52 eV/f.u. The volume comes out at 17.816 Å³/atom. Its symmetry is No. 15. Its density of states at the Fermi level is 0.42 states/eV/atom. The total magnetization is 0.0 μB per cell.

***

# 3
A relaxed ZnAsPd4 crystal. Source: the Alexandria database, functional PBE.

Cell: 5.0383 7.5619 5.1749 Å, 90.00 109.59 90.00°
With the nearest neighbours (Å) after each atom.
Element x y z (fractional)
Zn: 0.0000 0.0000 0.0000  6 Pd 2.61-2.65
Zn: 0.5000 0.5000 0.0000  6 Pd 2.61-2.65
As: 0.5000 0.0000 0.5000  6 Pd 2.49-2.61
As: 0.0000 0.5000 0.5000  6 Pd 2.49-2.61
Pd: 0.0889 0.6620 0.1175  1 As 2.49, 2 Zn 2.63-2.65, 1 Pd 2.75
Pd: 0.4111 0.1620 0.8825  1 As 2.49, 2 Zn 2.63-2.65, 1 Pd 2.75
Pd: 0.3786 0.3324 0.3880  2 As 2.51-2.61, 1 Zn 2.61, 2 Pd 2.81
Pd: 0.1214 0.8324 0.6120  2 As 2.51-2.61, 1 Zn 2.61, 2 Pd 2.81
Pd: 0.9111 0.3380 0.8825  1 As 2.49, 2 Zn 2.63-2.65, 1 Pd 2.75
Pd: 0.5889 0.8380 0.1175  1 As 2.49, 2 Zn 2.63-2.65, 1 Pd 2.75
Pd: 0.6214 0.6676 0.6120  2 As 2.51-2.61, 1 Zn 2.61, 2 Pd 2.81
Pd: 0.8786 0.1676 0.3880  2 As 2.51-2.61, 1 Zn 2.61, 2 Pd 2.81

Properties
The calculation puts the formation energy at -7.8 kcal/mol of atoms. The value obtained for the total energy is -28.73 eV/f.u. The value obtained for the offset from the most stable computed form is 0.056 eV/atom. The volume comes out at 15.479 Å³/atom. Its symmetry is No. 14. Its density of states at the Fermi level is 0.53 states/eV/atom. The total magnetization is 0.0 μB per cell.

***

# 4
A relaxed ZnAs2Pd4 crystal. Source: the Alexandria database, functional PBE.

Cell: 4.1879 6.3380 9.3167 Å, 90.00 90.00 109.29°
With the nearest neighbours (Å) after each atom.
Element x y z (fractional)
Zn: 0.6776 0.3553 0.7500  6 Pd 2.56-2.73
Zn: 0.3224 0.6447 0.2500  6 Pd 2.56-2.73
As: 0.1101 0.2202 0.4149  6 Pd 2.49-2.60
As: 0.8899 0.7798 0.9149  6 Pd 2.49-2.60
As: 0.1101 0.2202 0.0851  6 Pd 2.49-2.60
As: 0.8899 0.7798 0.5851  6 Pd 2.49-2.60
Pd: 0.7334 0.4668 0.1017  3 As 2.56-2.57, 2 Zn 2.73, 3 Pd 2.76-2.85
Pd: 0.7334 0.4668 0.3983  3 As 2.56-2.57, 2 Zn 2.73, 3 Pd 2.76-2.85
Pd: 0.2666 0.5332 0.8983  3 As 2.56-2.57, 2 Zn 2.73, 3 Pd 2.76-2.85
Pd: 0.2666 0.5332 0.6017  3 As 2.56-2.57, 2 Zn 2.73, 3 Pd 2.76-2.85
Pd: 0.0538 0.1077 0.7500  2 As 2.49, 2 Zn 2.56
Pd: 0.9462 0.8923 0.2500  2 As 2.49, 2 Zn 2.56
Pd: 0.5000 0.0000 0.0000  4 As 2.60
Pd: 0.5000 0.0000 0.5000  4 As 2.60

Properties
The calculation puts the formation energy at -6.2 kcal/mol of atoms. The value obtained for the total energy is -33.24 eV/f.u. The volume comes out at 16.672 Å³/atom. Its symmetry is No. 63. Its density of states at the Fermi level is 0.60 states/eV/atom. The total magnetization is 0.0 μB per cell.